1.
Entry from Alexandria via LeMat-Bulk: a relaxed structure of BeFeIr2 (PBE-GGA).

Calculated values
The energy of formation from the pure elements comes out at 131 meV/atom.

abc: 4.1839 4.1839 4.1839
angles: 60.00 60.00 60.00
Positions (direct):
Be 0.5000 0.5000 0.5000
Ir 0.0000 0.0000 0.0000
Ir 0.2500 0.2500 0.2500
Fe 0.7500 0.7500 0.7500

---

2.
Entry from Alexandria via LeMat-Bulk: a relaxed structure of SrCd5Hg2 (PBE-GGA).

Calculated values
The energy of formation from the pure elements comes out at -188 meV/atom.

abc: 4.4485 7.3093 7.3093
angles: 70.72 72.28 72.28
Positions (direct):
Sr 0.0000 0.0000 0.0000
Cd 0.0000 0.5000 0.5000
Cd 0.6374 0.5478 0.1775
Cd 0.3626 0.4522 0.8225
Cd 0.3626 0.8225 0.4522
Cd 0.6374 0.1775 0.5478
Hg 0.7300 0.7700 0.7700
Hg 0.2700 0.2300 0.2300

---

3.
Entry from Alexandria via LeMat-Bulk: a relaxed structure of Li2CdReCl (PBE-GGA).

Calculated values
Its uncorrected formation energy is 615 meV/atom.

abc: 5.2242 4.3651 5.2242
angles: 90.00 90.00 90.00
Positions (direct):
Re 0.0000 0.0000 0.0000
Cl 0.0000 0.5000 0.0000
Li 0.0000 0.0000 0.5000
Li 0.5000 0.0000 0.0000
Cd 0.5000 0.5000 0.5000

---

Listing E for the structures above in their given order: -7.35; -1.05; -3.19 eV/atom.